Entry from Alexandria via LeMat-Bulk: a relaxed AgGe2Br2 crystal (GGA-PBE).

The calculation puts the uncorrected formation energy at 4 kJ per mole of atoms. The total moment comes out at 0.000 μB/f.u. For the total energy, the calculation gives -0.112 Ha/atom.

Lattice parameters (Å, degrees): 7.392 7.392 4.910 90.00 90.00 90.00
Sites, in units of the cell vectors:
Ge (0.284, 0.784, 0.000)
Ge (0.784, 0.716, 0.000)
Ge (0.716, 0.216, 0.000)
Ge (0.216, 0.284, 0.000)
Br (0.173, 0.673, 0.500)
Br (0.673, 0.827, 0.500)
Br (0.827, 0.327, 0.500)
Br (0.327, 0.173, 0.500)
Ag (0.000, 0.000, 0.000)
Ag (0.500, 0.500, 0.000)